The following is a GGA-PBE calculation of a geometry-optimized Hf2Co3Sn2 structure, from the Open Quantum Materials Database.

total DFT energy (no corrections)	-156.942	eV for the cell shown

a = 4.3554 Å, b = 4.3554 Å, c = 21.2549 Å
α = 90.00°, β = 90.00°, γ = 120.00°
Space group R3m (No. 160, hexagonal axes)
Symmetry-distinct sites (fractional):
Hf 0.0000 0.0000 0.0000 (multiplicity 3)
Hf 0.0000 0.0000 0.4930 (multiplicity 3)
Co 0.0000 0.0000 0.3690 (multiplicity 3)
Co 0.0000 0.0000 0.6202 (multiplicity 3)
Co 0.0000 0.0000 0.8739 (multiplicity 3)
Sn 0.0000 0.0000 0.2432 (multiplicity 3)
Sn 0.0000 0.0000 0.7484 (multiplicity 3)

=====

The following is a GGA-PBE calculation of a geometry-optimized BaTePtO structure, from the Open Quantum Materials Database.

relative energy among the computed polymorphs	0.82	eV per formula unit

a = 7.862 Å, b = 11.535 Å, c = 9.356 Å
α = 90.00°, β = 90.00°, γ = 90.00°
Space group Pbca (No. 61)
Symmetry-distinct sites (fractional):
Ba 0.248 0.142 0.016 (multiplicity 8)
Te 0.000 0.016 0.749 (multiplicity 8)
Pt 0.002 0.745 0.750 (multiplicity 8)
O 0.249 0.223 0.294 (multiplicity 8)

=====

no.,total magnetic moment (Bohr magnetons per cell)
1,3.03
2,0.01